A plane-wave DFT calculation with PBE was carried out for a geometry-optimized LuTl2Pb structure.

Cell lengths 3.947, 3.947, 7.242 Å; angles 90.00, 90.00, 90.00 degrees
Space group P4/mmm (No. 123)
Inequivalent atoms, fractional coordinates:
Lu  0.000  0.000  0.000 x1
Tl  0.500  0.500  0.244 x2
Pb  0.000  0.000  0.500 x1

Calculated values
As for the relative energy among the computed polymorphs: 95 meV per atom. The formation enthalpy at 0 K comes out at -0.055 eV/atom. The calculation puts the density of states at the Fermi level at 2.3 states/eV per cell.